[1]
6
Lattice="5.819 0.000 0.000 0.000 3.224 0.000 -2.296 0.000 6.613" Properties=species:S:1:pos:R:3 comment="TcAsSe (PBE, relaxed)" relative_energy_ev_per_atom=0.173 magnetic_moment_mub_per_fu=0.0 vol_a3_per_cell=124.1 formation_energy_uncorrected_ev_per_fu=-0.43 pbc="T T T"
Tc 0.306 0.000 3.290
Tc 3.218 0.000 3.323
As 1.774 1.612 1.882
As 1.750 1.612 4.731
Se -1.126 0.000 5.256
Se 4.649 0.000 1.357

***

[2]
10
Lattice="2.915 0.000 0.000 0.000 2.915 0.000 0.000 0.000 17.687" Properties=species:S:1:pos:R:3 comment="Tl2FeB2 (PBE, relaxed)" relative_energy_ev_per_atom=0.000 magnetic_moment_mub_per_fu=0.1 vol_a3_per_cell=150.3 pbc="T T T"
Tl 0.000 0.000 1.898
Tl 0.000 0.000 15.789
Tl 1.458 1.458 6.945
Tl 1.458 1.458 10.742
Fe 0.000 0.000 8.843
Fe 1.458 1.458 0.000
B 0.000 1.458 4.422
B 0.000 1.458 13.265
B 1.458 0.000 4.422
B 1.458 0.000 13.265

***

[3]
12
Lattice="16.591 0.000 0.000 0.000 5.530 0.000 -0.663 0.000 3.268" Properties=species:S:1:pos:R:3 comment="NaAlSn (PBE, relaxed)" magnetic_moment_mub_per_fu=0.0 vol_a3_per_cell=299.8 total_energy_ev_per_atom=-3.083 pbc="T T T"
Na 0.000 0.000 0.000
Na 2.250 2.765 0.465
Na 8.296 2.765 0.000
Na 10.546 0.000 0.465
Al 5.152 1.445 1.062
Al 5.152 4.085 1.062
Al 13.447 1.320 1.062
Al 13.447 4.209 1.062
Sn 2.906 0.000 2.307
Sn 7.469 0.000 1.539
Sn 11.202 2.765 2.307
Sn 15.765 2.765 1.539

***

[4]
6
Lattice="0.000 3.734 3.734 3.734 0.000 3.734 3.734 3.734 0.000" Properties=species:S:1:pos:R:3 comment="SmTaOs4 (PBE, relaxed)" magnetic_moment_mub_per_fu=0.0 vol_a3_per_cell=104.1 total_energy_ev_per_atom=-10.227 pbc="T T T"
Sm 0.000 0.000 0.000
Ta 1.867 1.867 1.867
Os 4.667 2.800 2.800
Os 2.800 4.667 2.800
Os 2.800 2.800 4.667
Os 4.667 4.667 4.667

***

[5]
14
Lattice="7.177 0.000 0.000 0.000 7.177 0.000 0.000 0.000 5.199" Properties=species:S:1:pos:R:3 comment="Ce2Zn4Ru (PBE, relaxed)" magnetic_moment_mub_per_fu=1.3 vol_a3_per_cell=267.8 total_energy_ev_per_atom=-4.102 pbc="T T T"
Ce 1.794 1.794 1.146
Ce 1.794 5.383 0.000
Ce 5.383 1.794 0.000
Ce 5.383 5.383 4.053
Zn 0.470 0.470 3.686
Zn 0.470 3.119 3.686
Zn 3.119 0.470 3.686
Zn 3.119 3.119 3.686
Zn 4.058 4.058 1.513
Zn 4.058 6.707 1.513
Zn 6.707 4.058 1.513
Zn 6.707 6.707 1.513
Ru 1.794 5.383 2.600
Ru 5.383 1.794 2.600

***

[6]
12
Lattice="3.103 -5.374 0.000 3.103 5.374 0.000 -2.063 0.000 11.684" Properties=species:S:1:pos:R:3 comment="La2Dy6Y3Er (PBE, relaxed)" magnetic_moment_mub_per_fu=0.0 vol_a3_per_cell=389.7 total_energy_ev_per_atom=-5.096 pbc="T T T"
La 3.103 3.583 0.000
La 3.103 -3.583 0.000
Dy 0.008 1.783 8.728
Dy 1.048 0.000 2.958
Dy 0.008 -1.783 8.728
Dy 4.136 1.783 2.956
Dy 3.096 0.000 8.726
Dy 4.136 -1.783 2.956
Y -1.031 0.000 5.842
Y 2.072 1.786 5.842
Y 2.072 -1.786 5.842
Er 3.103 0.000 0.000